# PBE AcPIO4, relaxed
data_AcPIO4
_chemical_formula_sum 'Ac4 P4 I4 O16'
_space_group_name_H-M_alt 'C 1 2/m 1'
_space_group_IT_number 12
_cell_length_a 11.7908
_cell_length_b 6.6899
_cell_length_c 7.0356
_cell_angle_alpha 90.00
_cell_angle_beta 98.99
_cell_angle_gamma 90.00
loop_
_space_group_symop_operation_xyz
'x,y,z'
'-x,-y,-z'
'-x,y,-z'
'x,-y,z'
'x+1/2,y+1/2,z'
'-x+1/2,-y+1/2,-z'
'-x+1/2,y+1/2,-z'
'x+1/2,-y+1/2,z'
loop_
_atom_site_label
_atom_site_type_symbol
_atom_site_fract_x
_atom_site_fract_y
_atom_site_fract_z
Ac1 Ac 0.1997 0.0000 0.3033
P1 P 0.1377 0.0000 0.7471
I1 I 0.0258 0.5000 0.1918
O1 O 0.0066 0.0000 0.7355
O2 O 0.1779 0.1848 0.6347
O3 O 0.1978 0.0000 0.9575
# Calculated volume = 548.1 Å³ per cell
# Total magnetization = 0.00 Bohr magnetons per cell
# Raw formation energy = -2.461 eV/atom



# PBE AcP2IO6, relaxed
data_AcP2IO6
_chemical_formula_sum 'Ac3 P6 I3 O18'
_space_group_name_H-M_alt 'R -3 m'
_space_group_IT_number 166
_space_group_name_Hall '-R 3 2"'
_cell_length_a 6.7300
_cell_length_b 6.7300
_cell_length_c 13.9752
_cell_angle_alpha 90.00
_cell_angle_beta 90.00
_cell_angle_gamma 120.00
loop_
_atom_site_label
_atom_site_type_symbol
_atom_site_fract_x
_atom_site_fract_y
_atom_site_fract_z
Ac1 Ac 0.0000 0.0000 0.0000
P1 P 0.0000 0.0000 0.2947
I1 I 0.0000 0.0000 0.5000
O1 O 0.0794 0.5397 0.3914
# Calculated volume = 548.2 Å³ per cell
# Total magnetization = 0.00 Bohr magnetons per cell
# Raw formation energy = -2.141 eV/atom



# PBE AcP2IO8, relaxed
data_AcP2IO8
_chemical_formula_sum 'Ac2 P4 I2 O16'
_space_group_name_H-M_alt 'C 1 2/m 1'
_space_group_IT_number 12
_cell_length_a 10.8174
_cell_length_b 5.2576
_cell_length_c 6.5470
_cell_angle_alpha 90.00
_cell_angle_beta 118.03
_cell_angle_gamma 90.00
loop_
_space_group_symop_operation_xyz
'x,y,z'
'-x,-y,-z'
'-x,y,-z'
'x,-y,z'
'x+1/2,y+1/2,z'
'-x+1/2,-y+1/2,-z'
'-x+1/2,y+1/2,-z'
'x+1/2,-y+1/2,z'
loop_
_atom_site_label
_atom_site_type_symbol
_atom_site_fract_x
_atom_site_fract_y
_atom_site_fract_z
Ac1 Ac 0.0000 0.0000 0.0000
P1 P 0.2050 0.0000 0.6846
I1 I 0.0000 0.5000 0.5000
O1 O 0.1344 0.2305 0.7528
O2 O 0.1384 0.5000 0.1539
O3 O 0.1581 0.0000 0.4257
# Calculated volume = 328.7 Å³ per cell
# Total magnetization = 0.00 Bohr magnetons per cell
# Raw formation energy = -2.104 eV/atom



# PBE AcPbIO6, relaxed
data_AcPbIO6
_chemical_formula_sum 'Ac2 Pb2 I2 O12'
_space_group_name_H-M_alt 'P -3 1 c'
_space_group_IT_number 163
_space_group_name_Hall '-P 3 2c'
_cell_length_a 6.0983
_cell_length_b 6.0983
_cell_length_c 9.3123
_cell_angle_alpha 90.00
_cell_angle_beta 90.00
_cell_angle_gamma 120.00
loop_
_atom_site_label
_atom_site_type_symbol
_atom_site_fract_x
_atom_site_fract_y
_atom_site_fract_z
Ac1 Ac 0.3333 0.6667 0.2500
Pb1 Pb 0.0000 0.0000 0.0000
I1 I 0.3333 0.6667 0.7500
O1 O 0.0733 0.4068 0.6342
# Calculated volume = 299.9 Å³ per cell
# Total magnetization = 0.00 Bohr magnetons per cell
# Raw formation energy = -1.374 eV/atom



> raw formation energy of number 4 (AcPbIO6)?

-1.374 eV/atom